(1)
DFT (GGA-PBE) results for NaAs2Pd2 after structural relaxation.

abc: 7.712 7.712 3.016
angles: 90.00 90.00 90.00
Sites, in units of the cell vectors:
Pd: 0.366 0.866 0.000
Pd: 0.134 0.366 0.000
Pd: 0.634 0.134 0.000
Pd: 0.866 0.634 0.000
Na: 0.000 0.000 0.000
Na: 0.500 0.500 0.000
As: 0.658 0.842 0.500
As: 0.158 0.658 0.500
As: 0.842 0.342 0.500
As: 0.342 0.158 0.500

Computed properties:
SG: No. 127
Total moment: 0.00 μB/f.u.
Relative energy among the computed polymorphs: 12.84 kJ per mole of atoms
ΔE_f: -1.53 eV per formula unit
DOS at the Fermi energy: 5.975 states/eV per cell


(2)
DFT (GGA-PBE) results for Nb3Fe4Co after structural relaxation.

abc: 5.407 5.402 4.858
angles: 103.29 77.10 126.19
Sites, in units of the cell vectors:
Co: 0.519 0.500 0.000
Fe: 0.282 0.263 0.501
Fe: 0.319 0.712 0.820
Fe: 0.756 0.737 0.499
Fe: 0.719 0.289 0.180
Nb: 0.271 0.745 0.333
Nb: 0.019 0.000 0.000
Nb: 0.767 0.256 0.667

Computed properties:
SG: No. 2
Total moment: 4.10 μB/f.u.
ΔE_f: 0.83 eV per formula unit
DOS at the Fermi energy: 8.178 states/eV per cell